Entry 1:
A plane-wave DFT calculation with SCAN was carried out for TcOs2Br at its PBEsol-relaxed geometry.

Structure (POSCAR):
```
TcOs2Br
1.0
2.817 0.000 0.000
0.000 4.700 0.012
0.000 -1.403 4.486
Br Os Tc
1 2 1
Cartesian
1.408 1.649 2.249
0.000 2.350 0.006
0.000 -0.701 2.243
1.408 0.000 0.000
```

Output
energy above the lowest structure with this stoichiometry: 15.20 kcal/mol of atoms
Fermi-level density of states: 0.91 states/eV/atom
formation energy (no corrections): 1410 meV per atom


Entry 2:
A plane-wave DFT calculation with SCAN was carried out for Pd3Se2S at its PBEsol-relaxed geometry.

Structure (POSCAR):
```
Pd3Se2S
1.0
-0.381 -1.602 -6.715
3.160 -10.649 2.361
-10.890 -2.940 1.319
Pd S Se
24 8 16
Cartesian
0.453 -8.005 -3.456
-2.782 -6.734 -1.796
-6.463 -9.108 2.539
-4.011 -2.709 -0.906
-4.201 -3.510 -4.264
-7.650 -12.072 3.313
-9.523 -3.837 -2.104
-8.564 -7.186 0.420
0.644 -7.204 -0.098
-0.834 -4.187 -2.514
-0.324 -9.978 2.398
-7.406 -3.611 1.281
-7.277 -11.004 -0.522
-4.099 -12.481 -2.130
-6.464 -5.033 -1.992
-2.964 -8.047 2.087
1.412 -11.353 -0.932
-8.754 -7.986 -2.938
-4.766 -5.542 1.592
-3.909 -11.680 1.228
-1.647 -10.157 -1.043
-0.079 -1.517 0.366
-1.266 -4.481 1.141
-5.329 -8.457 -1.240
0.156 -4.996 -0.597
-6.271 -3.156 -0.671
-8.266 -10.195 -2.439
-6.462 -3.956 -4.029
-1.839 -12.035 -2.364
-1.649 -11.234 0.993
-8.076 -9.394 0.919
-0.035 -5.797 -3.955
1.059 -10.339 -3.129
-6.431 -13.007 -1.676
-3.267 -4.923 -0.224
-9.169 -4.852 0.094
-1.679 -2.183 -1.360
-1.844 -8.646 -2.976
1.270 -9.450 0.598
-9.381 -5.741 -3.634
-1.849 -2.896 -4.347
-1.675 -7.933 0.011
-4.632 -9.378 0.916
-6.262 -12.295 1.312
-6.435 -7.257 -3.047
-3.478 -5.812 -3.952
-4.843 -10.267 -2.812
-6.266 -6.545 -0.060
```

Output
formation energy (no corrections): -419 meV per atom


Entry 3:
A plane-wave DFT calculation with SCAN was carried out for La5Mg at its PBEsol-relaxed geometry.

Structure (POSCAR):
```
La5Mg
1.0
3.654 0.000 0.000
0.000 5.858 0.000
-1.827 0.000 9.113
Mg La
1 5
Cartesian
0.000 2.929 2.134
1.827 2.929 5.129
0.000 2.929 8.354
1.827 0.000 2.851
1.827 0.000 9.063
0.000 0.000 5.884
```

Output
energy above the lowest structure with this stoichiometry: 0.90 kcal/mol of atoms
Fermi-level density of states: 1.35 states/eV/atom
calculated formation energy: 0.00 eV per atom


Entry 4:
A plane-wave DFT calculation with SCAN was carried out for SiSnPd5 at its PBEsol-relaxed geometry.

Structure (POSCAR):
```
SiSnPd5
1.0
3.950 0.000 0.000
0.000 3.950 0.000
0.000 0.000 6.877
Pd Si Sn
5 1 1
Cartesian
0.000 1.975 4.851
0.000 1.975 2.026
0.000 0.000 0.000
1.975 0.000 4.851
1.975 0.000 2.026
0.000 0.000 3.439
1.975 1.975 0.000
```

Output
Fermi-level density of states: 0.16 states/eV/atom
formation energy (no corrections): -634 meV per atom


Entry 5:
A plane-wave DFT calculation with SCAN was carried out for BaHf3Tl at its PBEsol-relaxed geometry.

Structure (POSCAR):
```
BaHf3Tl
1.0
5.407 0.000 0.000
0.000 5.407 0.000
0.000 0.000 5.407
Ba Hf Tl
1 3 1
Cartesian
2.704 2.704 2.704
2.704 0.000 0.000
0.000 0.000 2.704
0.000 2.704 0.000
0.000 0.000 0.000
```

Output
Fermi-level density of states: 1.53 states/eV/atom
calculated formation energy: 1.13 eV per atom


Entry 6:
A plane-wave DFT calculation with SCAN was carried out for SbI2NCl at its PBEsol-relaxed geometry.

Structure (POSCAR):
```
SbI2NCl
1.0
-3.546 -0.832 -3.379
-0.150 -4.783 1.335
-3.326 1.009 3.241
Cl Sb N I
1 1 1 2
Cartesian
-3.511 -2.303 0.598
-1.663 0.504 1.621
0.000 0.000 0.000
-1.773 -0.416 -1.690
-0.075 -2.392 0.667
```

Output
energy above the lowest structure with this stoichiometry: 0.00 kcal/mol of atoms
Fermi-level density of states: 0.57 states/eV/atom
formation energy (no corrections): 819 meV per atom